# GGA-PBE CaCrMo, relaxed
data_CaCrMo
_symmetry_space_group_name_H-M 'P 3 m 1'
_symmetry_Int_Tables_number 156
_symmetry_space_group_name_Hall 'P 3 -2"'
_cell_length_a 4.6331
_cell_length_b 4.6331
_cell_length_c 3.0747
_cell_angle_alpha 90.00
_cell_angle_beta 90.00
_cell_angle_gamma 120.00
loop_
_atom_site_label
_atom_site_type_symbol
_atom_site_fract_x
_atom_site_fract_y
_atom_site_fract_z
Ca1 Ca 0.0000 0.0000 0.0000
Cr1 Cr 0.6667 0.3333 0.4141
Mo1 Mo 0.3333 0.6667 0.5926
# Calculated total energy: -6.624 eV per atom
# Magnetic moment: 1.96 μB/f.u.
# Formation energy: 0.862 eV/atom
# Energy above the most stable polymorph in this dataset: 0.3191 eV per atom